Material: Mg2BBrN2
Method: DFT, PBEsol
State: relaxed

Results
- energy (eV per atom) = -6.02
- mass density (g/cm³) = 3.0
- total magnetic moment (Bohr magnetons per cell) = 0.0
- formation energy without anion corrections (eV/atom) = -1.127

Lattice parameters (Å, degrees): 5.6457 5.6457 6.4544 105.70 105.70 71.69
Atoms (fractional coordinates):
Mg  0.1407  0.3470  0.1662
Mg  0.3470  0.1407  0.6662
Mg  0.6530  0.8593  0.3338
Mg  0.8593  0.6530  0.8338
B  0.1119  0.8881  0.2500
B  0.8881  0.1119  0.7500
Br  0.3675  0.6325  0.7500
Br  0.6325  0.3675  0.2500
N  0.0435  0.2676  0.8224
N  0.2676  0.0435  0.3224
N  0.7324  0.9565  0.6776
N  0.9565  0.7324  0.1776